Record 1
{"formula": "Pm2ErPaCo2", "functional": "GGA-PBE", "state": "optimized geometry", "lattice": [[6.750, 0.000, 0.000], [0.000, 6.805, 0.000], [-3.375, -3.402, 6.412]], "species": ["Pm", "Pm", "Pm", "Pm", "Er", "Er", "Pa", "Pa", "Co", "Co", "Co", "Co"], "frac_coords": [[0.699, 0.916, 0.398], [0.199, 0.482, 0.398], [0.801, 0.518, 0.602], [0.301, 0.084, 0.602], [0.250, 0.000, 0.000], [0.750, 0.000, 0.000], [0.750, 0.500, 0.000], [0.250, 0.500, 0.000], [0.413, 0.623, 0.827], [0.587, 0.377, 0.173], [0.087, 0.796, 0.173], [0.913, 0.204, 0.827]], "vol_a3_per_cell": 295, "dos_at_fermi_per_ev_cell": 12.3, "ef_ev_per_atom": -0.21, "space_group": "Ibam"}

=====

Record 2
{"formula": "ErPaCoRu", "functional": "GGA-PBE", "state": "optimized geometry", "lattice": [[4.763, 0.000, 0.000], [2.382, 4.125, 0.000], [2.382, 1.375, 3.889]], "species": ["Ru", "Pa", "Co", "Er"], "frac_coords": [[0.500, 0.500, 0.500], [0.750, 0.750, 0.750], [0.000, 0.000, 0.000], [0.250, 0.250, 0.250]], "vol_a3_per_cell": 76, "dos_at_fermi_per_ev_cell": 3.3, "ef_ev_per_atom": -0.28, "space_group": "F-43m"}

=====

Record 3
{"formula": "ErPaCoS4", "functional": "GGA-PBE", "state": "optimized geometry", "lattice": [[-1.821, -0.820, 5.977], [5.434, 0.010, 1.657], [0.296, 7.514, -1.015]], "species": ["Er", "Er", "Pa", "Pa", "Co", "Co", "S", "S", "S", "S", "S", "S", "S", "S"], "frac_coords": [[0.737, 0.750, 0.938], [0.263, 0.250, 0.062], [0.754, 0.750, 0.443], [0.246, 0.250, 0.557], [0.241, 0.750, 0.341], [0.759, 0.250, 0.659], [0.014, 0.507, 0.758], [0.986, 0.007, 0.242], [0.986, 0.493, 0.242], [0.014, 0.993, 0.758], [0.429, 0.750, 0.124], [0.571, 0.250, 0.876], [0.430, 0.750, 0.618], [0.570, 0.250, 0.382]], "e_form_raw_ev_per_fu": -9.8, "vol_a3_per_cell": 262, "dos_at_fermi_per_ev_cell": 7.6, "space_group": "P2_1/m"}

=====

Record 4
{"formula": "ErSc2PaCo2", "functional": "GGA-PBE", "state": "optimized geometry", "lattice": [[-0.670, -5.853, -2.993], [-1.346, -2.872, 5.919], [-4.850, 5.446, -2.269]], "species": ["Er", "Er", "Sc", "Sc", "Sc", "Sc", "Pa", "Pa", "Co", "Co", "Co", "Co"], "frac_coords": [[0.250, 0.000, 0.000], [0.750, 0.000, 0.000], [0.705, 0.889, 0.411], [0.205, 0.522, 0.411], [0.795, 0.478, 0.589], [0.295, 0.111, 0.589], [0.750, 0.500, 0.000], [0.250, 0.500, 0.000], [0.402, 0.607, 0.804], [0.598, 0.393, 0.196], [0.098, 0.803, 0.196], [0.902, 0.197, 0.804]], "vol_a3_per_cell": 267, "dos_at_fermi_per_ev_cell": 11.2, "ef_ev_per_atom": -0.13, "space_group": "Ibam"}

=====

Record 5
{"formula": "Sm2ErPaCo2", "functional": "GGA-PBE", "state": "optimized geometry", "lattice": [[-2.531, -5.377, 3.184], [2.625, -4.064, -4.777], [5.334, 4.200, 4.196]], "species": ["Sm", "Sm", "Sm", "Sm", "Er", "Er", "Pa", "Pa", "Co", "Co", "Co", "Co"], "frac_coords": [[0.699, 0.915, 0.398], [0.199, 0.483, 0.398], [0.801, 0.517, 0.602], [0.301, 0.085, 0.602], [0.250, 0.000, 0.000], [0.750, 0.000, 0.000], [0.750, 0.500, 0.000], [0.250, 0.500, 0.000], [0.413, 0.623, 0.826], [0.587, 0.377, 0.174], [0.087, 0.797, 0.174], [0.913, 0.203, 0.826]], "vol_a3_per_cell": 293, "dos_at_fermi_per_ev_cell": 12.4, "ef_ev_per_atom": -0.21, "space_group": "Ibam"}

=====

Record 6
{"formula": "Tb2ErPa2Co5", "functional": "GGA-PBE", "state": "optimized geometry", "lattice": [[3.453, 0.000, 0.000], [0.000, 10.489, 0.000], [0.000, 0.000, 10.489]], "species": ["Tb", "Tb", "Tb", "Tb", "Er", "Er", "Pa", "Pa", "Pa", "Pa", "Co", "Co", "Co", "Co", "Co", "Co", "Co", "Co", "Co", "Co"], "frac_coords": [[0.000, 0.671, 0.171], [0.000, 0.329, 0.829], [0.000, 0.171, 0.329], [0.000, 0.829, 0.671], [0.000, 0.000, 0.000], [0.000, 0.500, 0.500], [0.000, 0.136, 0.636], [0.000, 0.864, 0.364], [0.000, 0.636, 0.864], [0.000, 0.364, 0.136], [0.500, 0.222, 0.041], [0.500, 0.778, 0.959], [0.500, 0.041, 0.778], [0.500, 0.722, 0.459], [0.500, 0.959, 0.222], [0.500, 0.278, 0.541], [0.500, 0.541, 0.722], [0.500, 0.459, 0.278], [0.500, 0.500, 0.000], [0.500, 0.000, 0.500]], "vol_a3_per_cell": 380, "dos_at_fermi_per_ev_cell": 9.9, "ef_ev_per_atom": -0.14, "space_group": "P4/mbm"}

=====

Record 7
{"formula": "Tb2ErPaCo2", "functional": "GGA-PBE", "state": "optimized geometry", "lattice": [[-5.085, -2.881, -3.296], [2.154, -6.104, 2.012], [-2.130, 4.927, 5.810]], "species": ["Tb", "Tb", "Tb", "Tb", "Er", "Er", "Pa", "Pa", "Co", "Co", "Co", "Co"], "frac_coords": [[0.700, 0.910, 0.400], [0.200, 0.490, 0.400], [0.800, 0.510, 0.600], [0.300, 0.090, 0.600], [0.250, 0.000, 0.000], [0.750, 0.000, 0.000], [0.750, 0.500, 0.000], [0.250, 0.500, 0.000], [0.411, 0.620, 0.822], [0.589, 0.380, 0.178], [0.089, 0.798, 0.178], [0.911, 0.202, 0.822]], "vol_a3_per_cell": 287, "dos_at_fermi_per_ev_cell": 13.2, "ef_ev_per_atom": -0.20, "space_group": "Ibam"}

=====

Record 8
{"formula": "TbEr2PaCo2", "functional": "GGA-PBE", "state": "optimized geometry", "lattice": [[-3.945, 2.262, -4.926], [-3.778, -5.700, 0.408], [0.157, 4.478, 6.493]], "species": ["Tb", "Tb", "Er", "Er", "Er", "Er", "Pa", "Pa", "Co", "Co", "Co", "Co"], "frac_coords": [[0.250, 0.000, 0.000], [0.750, 0.000, 0.000], [0.703, 0.897, 0.406], [0.203, 0.509, 0.406], [0.797, 0.491, 0.594], [0.297, 0.103, 0.594], [0.750, 0.500, 0.000], [0.250, 0.500, 0.000], [0.409, 0.613, 0.818], [0.591, 0.387, 0.182], [0.091, 0.795, 0.182], [0.909, 0.205, 0.818]], "vol_a3_per_cell": 288, "dos_at_fermi_per_ev_cell": 13.3, "ef_ev_per_atom": -0.18, "space_group": "Ibam"}

=====

Record 9
{"formula": "ErPaCoTc", "functional": "GGA-PBE", "state": "optimized geometry", "lattice": [[-3.012, 3.560, -1.030], [-4.252, 0.230, 2.161], [-0.856, 3.413, 3.229]], "species": ["Pa", "Co", "Tc", "Er"], "frac_coords": [[0.000, 0.000, 0.000], [0.250, 0.250, 0.250], [0.750, 0.750, 0.750], [0.500, 0.500, 0.500]], "vol_a3_per_cell": 77, "dos_at_fermi_per_ev_cell": 2.3, "ef_ev_per_atom": -0.16, "space_group": "F-43m"}

=====

Record 10
{"formula": "ErTm2PaCo2", "functional": "GGA-PBE", "state": "optimized geometry", "lattice": [[-6.169, 1.698, -1.868], [0.401, -4.284, -5.217], [0.543, -3.279, 7.117]], "species": ["Er", "Er", "Tm", "Tm", "Tm", "Tm", "Pa", "Pa", "Co", "Co", "Co", "Co"], "frac_coords": [[0.250, 0.000, 0.000], [0.750, 0.000, 0.000], [0.702, 0.901, 0.403], [0.202, 0.502, 0.403], [0.798, 0.498, 0.597], [0.298, 0.099, 0.597], [0.750, 0.500, 0.000], [0.250, 0.500, 0.000], [0.408, 0.615, 0.816], [0.592, 0.385, 0.184], [0.092, 0.799, 0.184], [0.908, 0.201, 0.816]], "vol_a3_per_cell": 282, "dos_at_fermi_per_ev_cell": 12.9, "ef_ev_per_atom": -0.19, "space_group": "Ibam"}

=====

Record 11
{"formula": "Er2ZrPaCo2", "functional": "GGA-PBE", "state": "optimized geometry", "lattice": [[6.676, 0.000, 0.000], [0.000, 6.565, 0.000], [-3.338, -3.283, 6.136]], "species": ["Er", "Er", "Er", "Er", "Zr", "Zr", "Pa", "Pa", "Co", "Co", "Co", "Co"], "frac_coords": [[0.696, 0.954, 0.391], [0.196, 0.437, 0.391], [0.804, 0.563, 0.609], [0.304, 0.046, 0.609], [0.250, 0.000, 0.000], [0.750, 0.000, 0.000], [0.750, 0.500, 0.000], [0.250, 0.500, 0.000], [0.416, 0.650, 0.832], [0.584, 0.350, 0.168], [0.084, 0.819, 0.168], [0.916, 0.181, 0.832]], "vol_a3_per_cell": 269, "dos_at_fermi_per_ev_cell": 10.2, "ef_ev_per_atom": -0.22, "space_group": "Ibam"}

=====

Record 12
{"formula": "Er6Co2Pb", "functional": "GGA-PBE", "state": "optimized geometry", "lattice": [[8.344, 0.089, 0.002], [-3.079, 7.756, -0.002], [-2.816, -3.799, 6.875]], "species": ["Er", "Er", "Er", "Er", "Er", "Er", "Er", "Er", "Er", "Er", "Er", "Er", "Co", "Co", "Co", "Co", "Pb", "Pb"], "frac_coords": [[0.527, 0.713, 0.815], [0.473, 0.287, 0.185], [0.102, 0.287, 0.815], [0.898, 0.713, 0.185], [0.783, 0.768, 0.552], [0.217, 0.232, 0.448], [0.217, 0.768, 0.985], [0.783, 0.232, 0.015], [0.695, 0.380, 0.684], [0.305, 0.620, 0.316], [0.305, 0.989, 0.684], [0.695, 0.011, 0.316], [0.500, 0.388, 0.888], [0.500, 0.612, 0.112], [0.620, 0.000, 0.620], [0.380, 0.000, 0.380], [0.000, 0.500, 0.500], [0.000, 0.000, 0.000]], "vol_a3_per_cell": 447, "dos_at_fermi_per_ev_cell": 10.3, "ef_ev_per_atom": -0.30, "space_group": "Immm"}

=====

Record 13
{"formula": "Er4CoPb2", "functional": "GGA-PBE", "state": "optimized geometry", "lattice": [[6.207, 0.000, -0.699], [0.000, 6.634, 0.000], [-3.091, 0.000, 9.500]], "species": ["Er", "Er", "Er", "Er", "Er", "Er", "Er", "Er", "Co", "Co", "Pb", "Pb", "Pb", "Pb"], "frac_coords": [[0.474, 0.503, 0.257], [0.093, 0.750, 0.905], [0.907, 0.250, 0.095], [0.474, 0.997, 0.257], [0.900, 0.250, 0.601], [0.526, 0.003, 0.743], [0.526, 0.497, 0.743], [0.100, 0.750, 0.399], [0.114, 0.750, 0.159], [0.886, 0.250, 0.841], [0.662, 0.750, 0.043], [0.338, 0.250, 0.957], [0.248, 0.250, 0.441], [0.752, 0.750, 0.559]], "vol_a3_per_cell": 377, "dos_at_fermi_per_ev_cell": 8.9, "e_above_lowest_polymorph_kj_per_mol_atoms": 0.5, "ef_ev_per_atom": -0.30, "space_group": "P2_1/m"}

=====

Record 14
{"formula": "Er7CoPb4", "functional": "GGA-PBE", "state": "optimized geometry", "lattice": [[-0.114, -4.795, -1.746], [-1.035, -5.406, 7.452], [-7.986, -2.155, -1.023]], "species": ["Er", "Er", "Er", "Er", "Er", "Er", "Er", "Co", "Pb", "Pb", "Pb", "Pb"], "frac_coords": [[0.769, 0.869, 0.592], [0.231, 0.131, 0.408], [0.060, 0.737, 0.143], [0.940, 0.263, 0.857], [0.358, 0.552, 0.732], [0.500, 0.000, 0.000], [0.642, 0.448, 0.268], [0.000, 0.000, 0.000], [0.585, 0.225, 0.605], [0.415, 0.775, 0.395], [0.719, 0.650, 0.911], [0.281, 0.350, 0.089]], "vol_a3_per_cell": 359, "dos_at_fermi_per_ev_cell": 8.1, "ef_ev_per_atom": -0.14, "space_group": "C2/m"}

=====

Record 15
{"formula": "Er12Co5Pb", "functional": "GGA-PBE", "state": "optimized geometry", "lattice": [[7.674, -0.021, -2.931], [-4.010, 6.761, -2.386], [-0.007, 0.021, 8.214]], "species": ["Er", "Er", "Er", "Er", "Er", "Er", "Er", "Er", "Er", "Er", "Er", "Er", "Co", "Co", "Co", "Co", "Co", "Pb"], "frac_coords": [[0.525, 0.815, 0.710], [0.475, 0.185, 0.290], [0.895, 0.185, 0.710], [0.105, 0.815, 0.290], [0.693, 0.687, 0.381], [0.307, 0.313, 0.619], [0.307, 0.687, 0.994], [0.693, 0.313, 0.006], [0.806, 0.598, 0.791], [0.194, 0.402, 0.209], [0.194, 0.985, 0.791], [0.806, 0.015, 0.209], [0.622, 0.622, 0.000], [0.378, 0.378, 0.000], [0.500, 0.112, 0.612], [0.500, 0.888, 0.388], [0.000, 0.000, 0.000], [0.000, 0.500, 0.500]], "vol_a3_per_cell": 426, "dos_at_fermi_per_ev_cell": 11.9, "ef_ev_per_atom": -0.28, "space_group": "Immm"}

=====

Record 16
{"formula": "Er12Co6Pb", "functional": "GGA-PBE", "state": "optimized geometry", "lattice": [[7.826, 0.000, -2.767], [-3.913, 6.777, -2.767], [0.000, 0.000, 8.301]], "species": ["Er", "Er", "Er", "Er", "Er", "Er", "Er", "Er", "Er", "Er", "Er", "Er", "Co", "Co", "Co", "Co", "Co", "Co", "Pb"], "frac_coords": [[0.304, 0.109, 0.805], [0.304, 0.499, 0.195], [0.696, 0.501, 0.805], [0.696, 0.891, 0.195], [0.109, 0.805, 0.304], [0.499, 0.195, 0.304], [0.501, 0.805, 0.696], [0.891, 0.195, 0.696], [0.805, 0.304, 0.109], [0.195, 0.304, 0.499], [0.805, 0.696, 0.501], [0.195, 0.696, 0.891], [0.387, 0.500, 0.887], [0.613, 0.500, 0.113], [0.500, 0.887, 0.387], [0.500, 0.113, 0.613], [0.887, 0.387, 0.500], [0.113, 0.613, 0.500], [0.000, 0.000, 0.000]], "vol_a3_per_cell": 440, "dos_at_fermi_per_ev_cell": 9.2, "ef_ev_per_atom": -0.29, "space_group": "Im-3"}

=====

Record 17
{"formula": "ErCoPb", "functional": "GGA-PBE", "state": "optimized geometry", "lattice": [[-0.034, -3.730, 1.013], [2.947, -2.298, -0.988], [6.164, 0.540, 9.572]], "species": ["Er", "Er", "Pb", "Pb", "Co", "Co"], "frac_coords": [[0.553, 0.553, 0.341], [0.447, 0.447, 0.659], [0.298, 0.298, 0.105], [0.702, 0.702, 0.895], [0.833, 0.833, 0.500], [0.167, 0.167, 0.500]], "vol_a3_per_cell": 145, "dos_at_fermi_per_ev_cell": 5.2, "ef_ev_per_atom": -0.23, "space_group": "R-3m"}

=====

Record 18
{"formula": "Er5CoPb", "functional": "GGA-PBE", "state": "optimized geometry", "lattice": [[-5.186, 3.126, 2.211], [-4.698, -3.559, 2.611], [1.135, 0.745, 11.066]], "species": ["Er", "Er", "Er", "Er", "Er", "Er", "Er", "Er", "Er", "Er", "Co", "Co", "Pb", "Pb"], "frac_coords": [[0.977, 0.600, 0.136], [0.199, 0.560, 0.543], [0.600, 0.977, 0.636], [0.976, 0.024, 0.250], [0.440, 0.801, 0.957], [0.560, 0.199, 0.043], [0.024, 0.976, 0.750], [0.400, 0.023, 0.364], [0.801, 0.440, 0.457], [0.023, 0.400, 0.864], [0.000, 0.000, 0.000], [0.000, 0.000, 0.500], [0.472, 0.528, 0.250], [0.528, 0.472, 0.750]], "vol_a3_per_cell": 387, "dos_at_fermi_per_ev_cell": 12.2, "ef_ev_per_atom": -0.12, "space_group": "C2/c"}

=====

Record 19
{"formula": "Er3CoPb", "functional": "GGA-PBE", "state": "optimized geometry", "lattice": [[-0.648, 4.765, 1.711], [-4.003, -1.539, 2.769], [3.101, -0.990, 3.932]], "species": ["Pb", "Co", "Er", "Er", "Er"], "frac_coords": [[0.500, 0.500, 0.500], [0.000, 0.000, 0.000], [0.000, 0.500, 0.000], [0.000, 0.000, 0.500], [0.500, 0.000, 0.000]], "vol_a3_per_cell": 133, "dos_at_fermi_per_ev_cell": 4.6, "e_above_lowest_polymorph_kj_per_mol_atoms": 10.0, "ef_ev_per_atom": -0.26, "space_group": "Pm-3m"}

=====

Record 20
{"formula": "ErCoPb", "functional": "GGA-PBE", "state": "optimized geometry", "lattice": [[-4.105, -1.088, -1.685], [-3.247, -1.632, 2.770], [-3.640, 2.568, 1.015]], "species": ["Pb", "Co", "Er"], "frac_coords": [[0.000, 0.000, 0.000], [0.250, 0.250, 0.250], [0.500, 0.500, 0.500]], "vol_a3_per_cell": 67, "dos_at_fermi_per_ev_cell": 4.2, "ef_ev_per_atom": -0.13, "space_group": "F-43m"}

=====

Record 21
{"formula": "Er3CoPb", "functional": "GGA-PBE", "state": "optimized geometry", "lattice": [[5.427, 0.000, 0.000], [0.000, 6.403, -3.695], [0.000, -0.001, 7.392]], "species": ["Er", "Er", "Er", "Er", "Er", "Er", "Co", "Co", "Pb", "Pb"], "frac_coords": [[0.250, 0.827, 0.173], [0.750, 0.173, 0.827], [0.250, 0.827, 0.655], [0.750, 0.173, 0.345], [0.250, 0.345, 0.173], [0.750, 0.655, 0.827], [0.000, 0.000, 0.000], [0.500, 0.000, 0.000], [0.250, 0.333, 0.667], [0.750, 0.667, 0.333]], "vol_a3_per_cell": 257, "dos_at_fermi_per_ev_cell": 5.8, "e_above_lowest_polymorph_kj_per_mol_atoms": 0.0, "ef_ev_per_atom": -0.36, "space_group": "P6_3/mmc"}